The following is a DFT calculation (meta-GGA SCAN) of SrZnTc3 at its PBEsol-relaxed geometry.

## Properties
**Volume**: 19.8 Å³ per atom
**Space group**: Pm-3m (221)
**Energy of formation from the pure elements**: 1.49 eV/atom
**Final energy**: -26.705 eV per atom

Lattice parameters (Å, degrees): 4.624 4.624 4.624 90.00 90.00 90.00
Last column: magnetic moment on the atom in μB.
Fractional positions:
1 Zn 0.000 0.000 0.000  0.05
2 Tc 0.500 0.000 0.000  1.59
3 Tc 0.000 0.500 0.000  1.59
4 Tc 0.000 0.000 0.500  1.59
5 Sr 0.500 0.500 0.500  0.06

---

The following is a DFT calculation (meta-GGA SCAN) of SrZnTc2 at its PBEsol-relaxed geometry.

## Properties
**Volume**: 21.8 Å³ per atom
**Space group**: R3m (160)
**Energy of formation from the pure elements**: 0.07 eV/atom
**Final energy**: -26.406 eV per atom

Lattice parameters (Å, degrees): 4.217 4.217 6.175 70.04 70.04 60.00
Fractional positions:
1 Tc 0.946 0.946 0.163
2 Tc 0.267 0.267 0.198
3 Sr 0.751 0.751 0.748
4 Zn 0.550 0.550 0.351